## MnCoTc2 (PBE)

Data for MnCoTc2 after structural relaxation.

Geometry as extended XYZ:
```
4
Lattice="4.5264 0.0000 0.0000 0.0000 2.6606 0.0000 -1.5272 0.0000 4.3220" Properties=species:S:1:pos:R:3 pbc="T T T"
Mn 0.0000 0.0000 0.0000
Co -0.7636 1.3303 2.1610
Tc 1.4996 0.0000 2.1610
Tc 2.2632 1.3303 0.0000
```

The value obtained for the energy above the most stable polymorph in this dataset is 131 meV per atom. The calculation puts the formation energy from the elements at 129 meV per atom. Its total energy is -9.122 eV per atom. As for the symmetry: P2/m, No. 10. The calculation puts the density of states at the Fermi level at 5.542 states/eV/cell.